The following is a PBE calculation of a relaxed BeZn2I6 crystal, from the Alexandria database.

D(E_F) (states/eV/cell): 0.0
Space group: No. 15
Crystal system: monoclinic
Total energy (eV per cell): -41.26
Theoretical density (Mg/m³): 4.01

Cell: 7.2084 10.7944 10.7944 Å, 89.58 70.97 70.97°
Fractional positions:
Be (0.2500, 0.2415, 0.7585)
Be (0.7500, 0.7585, 0.2415)
Zn (0.0765, 0.6624, 0.8249)
Zn (0.4235, 0.1751, 0.3376)
Zn (0.9235, 0.3376, 0.1751)
Zn (0.5765, 0.8249, 0.6624)
I (0.2190, 0.8179, 0.6542)
I (0.2810, 0.3458, 0.1821)
I (0.7810, 0.1821, 0.3458)
I (0.7190, 0.6542, 0.8179)
I (0.8722, 0.7655, 0.4251)
I (0.6278, 0.5749, 0.2345)
I (0.1278, 0.2345, 0.5749)
I (0.3722, 0.4251, 0.7655)
I (0.0574, 0.7551, 0.0584)
I (0.4426, 0.9416, 0.2449)
I (0.9426, 0.2449, 0.9416)
I (0.5574, 0.0584, 0.7551)